5
Lattice="4.310 0.000 0.000 0.000 4.310 0.000 0.000 0.000 4.310" Properties=species:S:1:pos:R:3 comment="HfBiC3 | Alexandria | GGA-PBE | relaxed" spacegroup="Pm-3m (221)" dft_energy_ev_per_atom=-5.48 e_form_ev_per_atom=2.821 pbc="T T T"
Hf 0.000 0.000 0.000
Bi 2.155 2.155 2.155
C 0.000 2.155 2.155
C 2.155 0.000 2.155
C 2.155 2.155 0.000